Entry from Alexandria: TaMnWO6 after structural relaxation (GGA+U).

Its spin magnetization is 0.667 μB per atom. The value obtained for the total energy is -8.5538 eV/atom.

It has space group P4_2nm (No. 102), with a = 4.7872 Å, b = 4.7872 Å, c = 9.5706 Å, α = 90.00°, β = 90.00° and γ = 90.00°. The distinct sites, in fractional coordinates, are Ta at (0.0000, 0.0000, 0.0000), Mn at (0.0000, 0.0000, 0.6639), W at (0.0000, 0.0000, 0.3307), O at (0.1853, 0.1853, 0.1622), O at (0.2082, 0.2082, 0.4857) and O at (0.2115, 0.2115, 0.8458).